Here is a geometry-optimized Sm3Tm2Cd2 structure from Alexandria. Energies are from GGA-PBE.

Results
Excess energy over the best structure of this formula in the dataset = 0.0000 eV per atom

Lattice parameters (Å, degrees): 5.4125 5.4125 23.9781 90.00 90.00 120.00
Space group R-3m (No. 166, hexagonal axes)
One atom of each set of equivalent atoms:
Sm: 0.0000 0.0000 0.0000 (multiplicity 3)
Sm: 0.0000 0.0000 0.1581 (multiplicity 6)
Tm: 0.0000 0.0000 0.4269 (multiplicity 6)
Cd: 0.0000 0.0000 0.2895 (multiplicity 6)

***

Here is a geometry-optimized Sm6TmCd structure from Alexandria. Energies are from GGA-PBE.

Results
Excess energy over the best structure of this formula in the dataset = 0.0771 eV per atom

Lattice parameters (Å, degrees): 9.4149 9.4149 10.0923 90.00 90.00 120.00
Space group R-3 (No. 148, hexagonal axes)
One atom of each set of equivalent atoms:
Sm: 0.0245 0.7637 0.2166 (multiplicity 18)
Tm: 0.0000 0.0000 0.5000 (multiplicity 3)
Cd: 0.0000 0.0000 0.0000 (multiplicity 3)

***

Here is a geometry-optimized SmTmCd structure from Alexandria. Energies are from GGA-PBE.

Results
Excess energy over the best structure of this formula in the dataset = 0.1160 eV per atom

Lattice parameters (Å, degrees): 5.2530 5.2530 3.6070 90.00 90.00 120.00
Space group P3m1 (No. 156)
One atom of each set of equivalent atoms:
Sm: 0.0000 0.0000 0.0000 (multiplicity 1)
Tm: 0.3333 0.6667 0.4500 (multiplicity 1)
Cd: 0.6667 0.3333 0.6499 (multiplicity 1)

***

Here is a geometry-optimized Sm4Tm5Cd2 structure from Alexandria. Energies are from GGA-PBE.

Lattice parameters (Å, degrees): 8.561 3.471 11.233 90.00 93.73 90.00
Space group P2/m (No. 10)
One atom of each set of equivalent atoms:
Sm: 0.145 0.000 0.384 (multiplicity 2)
Sm: 0.283 0.000 0.951 (multiplicity 2)
Tm: 0.204 0.500 0.669 (multiplicity 2)
Tm: 0.427 0.500 0.208 (multiplicity 2)
Tm: 0.500 0.500 0.500 (multiplicity 1)
Cd: 0.054 0.500 0.131 (multiplicity 2)

***

Here is a geometry-optimized SmTm5Cd3 structure from Alexandria. Energies are from GGA-PBE.

Lattice parameters (Å, degrees): 9.0959 9.0959 6.8854 90.00 90.00 120.00
Space group P6_3/mcm (No. 193)
One atom of each set of equivalent atoms:
Sm: 0.0000 0.0000 0.0000 (multiplicity 2)
Tm: 0.0000 0.3349 0.2500 (multiplicity 6)
Tm: 0.3333 0.6667 0.0000 (multiplicity 4)
Cd: 0.0000 0.3352 0.7500 (multiplicity 6)

***

Here is a geometry-optimized SmTm2Cd structure from Alexandria. Energies are from GGA-PBE.

Results
Excess energy over the best structure of this formula in the dataset = 0.1757 eV per atom

Lattice parameters (Å, degrees): 7.665 7.665 7.665 90.00 90.00 90.00
Space group Fm-3m (No. 225)
One atom of each set of equivalent atoms:
Sm: 0.000 0.000 0.000 (multiplicity 4)
Tm: 0.250 0.250 0.250 (multiplicity 8)
Cd: 0.000 0.000 0.500 (multiplicity 4)

***

Number 1: energy of formation from the pure elements -147 meV per atom. Number 2: energy of formation from the pure elements 39 meV per atom. Number 3: energy of formation from the pure elements -74 meV per atom. Number 4: energy of formation from the pure elements 16 meV per atom. Number 5: energy of formation from the pure elements -175 meV per atom. Number 6: energy of formation from the pure elements 27 meV per atom.